Compound: DySbN2O
Source: OQMD via LeMat-Bulk
Functional: PBE-GGA
Structure: relaxed

a b c (Å): 5.6266 5.6266 5.6154
angles (deg): 119.69 119.69 90.12
Atoms (fractional coordinates):
N1 0.1884 0.8116 0.0000
Dy1 0.7723 0.7723 0.5408
Sb1 0.5000 0.0000 0.0000
N2 0.3629 0.3629 0.1362
N3 0.8116 0.1884 0.0000
Sb2 0.0000 0.5000 0.0000
O1 0.1743 0.8257 0.5000
O2 0.8257 0.1743 0.5000
N4 0.6371 0.6371 0.8638
Dy2 0.2277 0.2277 0.4592

Calculated values
symmetry	C2/m, No. 12
total magnetic moment	0.00	μB per formula unit
final energy	-34.9	eV per formula unit


Compound: MgTaGaOs
Source: OQMD via LeMat-Bulk
Functional: PBE-GGA
Structure: relaxed

a b c (Å): 4.4643 4.4643 4.4643
angles (deg): 60.00 60.00 60.00
Atoms (fractional coordinates):
Mg1 0.7500 0.7500 0.7500
Ta1 0.5000 0.5000 0.5000
Ga1 0.2500 0.2500 0.2500
Os1 0.0000 0.0000 0.0000

Calculated values
symmetry	F-43m, No. 216
total magnetic moment	0.00	μB per formula unit
excess energy over the best structure of this formula in the dataset	476	meV/atom
final energy	-26.5	eV per formula unit


Compound: Hf4Sc2Tl3C3
Source: OQMD via LeMat-Bulk
Functional: PBE-GGA
Structure: relaxed

a b c (Å): 5.8021 5.8021 15.3793
angles (deg): 100.94 100.94 60.02
Atoms (fractional coordinates):
C1 0.8428 0.3286 0.0000
C2 0.1572 0.6714 0.0000
Hf1 0.8018 0.9784 0.9202
Sc1 0.4716 0.6342 0.9163
C3 0.3286 0.8428 0.5000
Hf2 0.8554 0.6933 0.0798
Sc2 0.5284 0.3658 0.0837
C4 0.0000 0.5000 0.5000
Hf3 0.9784 0.8018 0.4202
Tl1 0.5850 0.7584 0.2512
Tl2 0.2416 0.4150 0.2488
Sc3 0.3658 0.5284 0.5837
Tl3 0.0724 0.9276 0.7500
Tl4 0.7584 0.5850 0.7512
Hf4 0.3067 0.1446 0.4202
Hf5 0.1982 0.0216 0.0798
Hf6 0.0216 0.1982 0.5798
Tl5 0.4150 0.2416 0.7488
Hf7 0.1446 0.3067 0.9202
Sc4 0.6342 0.4716 0.4163
Hf8 0.6933 0.8554 0.5798
Tl6 0.9276 0.0724 0.2500
C5 0.5000 0.0000 0.0000
C6 0.6714 0.1572 0.5000

Calculated values
symmetry	C2/c, No. 15
total magnetic moment	0.00	μB per formula unit
final energy	-94.4	eV per formula unit


Compound: CdGePO
Source: OQMD via LeMat-Bulk
Functional: PBE-GGA
Structure: relaxed

a b c (Å): 3.9392 6.2162 6.0389
angles (deg): 90.00 90.00 90.00
Atoms (fractional coordinates):
Cd1 0.0000 0.1598 0.5281
O1 0.0000 0.1930 0.9060
Cd2 0.0000 0.8402 0.0281
Ge1 0.5000 0.2973 0.9664
P1 0.5000 0.6588 0.8535
P2 0.5000 0.3412 0.3535
O2 0.0000 0.8070 0.4060
Ge2 0.5000 0.7027 0.4664

Calculated values
symmetry	Pmc2_1, No. 26
excess energy over the best structure of this formula in the dataset	32	meV/atom
final energy	-17.5	eV per formula unit